No. 1
VASP calculation (PBE) on BaDyMgS3 after structural relaxation.

Output
Calculated volume (Å³/atom): 24.9
VASP energy (eV per atom): -5.1036

Structure (CIF):
```
data_BaDyMgS3
_chemical_formula_sum 'Ba4 Dy4 Mg4 S12'
_cell_length_a 4.056
_cell_length_b 14.034
_cell_length_c 10.501
_cell_angle_alpha 90.00
_cell_angle_beta 90.00
_cell_angle_gamma 90.00
_space_group_name_H-M_alt 'C m c m'
_space_group_IT_number 63
_space_group_name_Hall '-C 2c 2'
loop_
_atom_site_label
_atom_site_fract_x
_atom_site_fract_y
_atom_site_fract_z
Ba1 0.000 0.245 0.250
Dy1 0.000 0.500 0.000
Mg1 0.000 0.031 0.750
S1 0.000 0.132 0.565
S2 0.000 0.433 0.750
```



No. 2
VASP calculation (PBE) on CoSiHgOs after structural relaxation.

Output
E above lowest polymorph (eV per atom): 0.000
Calculated volume (Å³/atom): 14.4
VASP energy (eV per atom): -5.5236

Structure (CIF):
```
data_CoSiHgOs
_chemical_formula_sum 'Co4 Si4 Hg4 Os4'
_cell_length_a 6.131
_cell_length_b 6.131
_cell_length_c 6.131
_cell_angle_alpha 90.00
_cell_angle_beta 90.00
_cell_angle_gamma 90.00
_space_group_name_H-M_alt 'F -4 3 m'
_space_group_IT_number 216
_space_group_name_Hall 'F -4 2 3'
loop_
_atom_site_label
_atom_site_fract_x
_atom_site_fract_y
_atom_site_fract_z
Co1 0.000 0.000 0.000
Si1 0.250 0.250 0.750
Hg1 0.250 0.250 0.250
Os1 0.000 0.000 0.500
```



No. 3
VASP calculation (PBE) on KZrAuSeS2 after structural relaxation.

Output
Calculated volume (Å³/atom): 24.6
VASP energy (eV per atom): -5.1688

Structure (CIF):
```
data_KZrAuSeS2
_chemical_formula_sum 'K4 Zr4 Au4 Se4 S8'
_cell_length_a 3.857
_cell_length_b 14.885
_cell_length_c 10.294
_cell_angle_alpha 90.00
_cell_angle_beta 90.00
_cell_angle_gamma 90.00
_space_group_name_H-M_alt 'C m c m'
_space_group_IT_number 63
_space_group_name_Hall '-C 2c 2'
loop_
_atom_site_label
_atom_site_fract_x
_atom_site_fract_y
_atom_site_fract_z
K1 0.000 0.244 0.250
Zr1 0.000 0.000 0.000
Au1 0.000 0.449 0.750
Se1 0.000 0.076 0.750
S1 0.000 0.382 0.536
```



No. 4
VASP calculation (PBE) on DyPuTa after structural relaxation.

Output
Calculated volume (Å³/atom): 26.9
Formation energy from the elements (kJ per mole of atoms): 122
VASP energy (eV per atom): -8.9319

Structure (CIF):
```
data_DyPuTa
_chemical_formula_sum 'Dy4 Pu4 Ta4'
_cell_length_a 6.856
_cell_length_b 6.856
_cell_length_c 6.856
_cell_angle_alpha 90.00
_cell_angle_beta 90.00
_cell_angle_gamma 90.00
_space_group_name_H-M_alt 'F -4 3 m'
_space_group_IT_number 216
_space_group_name_Hall 'F -4 2 3'
loop_
_atom_site_label
_atom_site_fract_x
_atom_site_fract_y
_atom_site_fract_z
Dy1 0.000 0.000 0.000
Pu1 0.250 0.250 0.750
Ta1 0.250 0.250 0.250
```



No. 5
VASP calculation (PBE) on ZrBi after structural relaxation.

Output
Calculated volume (Å³/atom): 25.8
VASP energy (eV per atom): -6.4453

Structure (CIF):
```
data_ZrBi
_chemical_formula_sum 'Zr8 Bi8'
_cell_length_a 5.350
_cell_length_b 13.761
_cell_length_c 5.599
_cell_angle_alpha 90.00
_cell_angle_beta 90.00
_cell_angle_gamma 90.00
_space_group_name_H-M_alt 'P m m n'
_space_group_IT_number 59
loop_
_space_group_symop_operation_xyz
'x,y,z'
'-x,-y,-z'
'-x+1/2,-y+1/2,z'
'x+1/2,y+1/2,-z'
'x+1/2,-y,-z'
'-x+1/2,y,z'
'-x,y+1/2,-z'
'x,-y+1/2,z'
loop_
_atom_site_label
_atom_site_fract_x
_atom_site_fract_y
_atom_site_fract_z
Zr1 0.250 0.016 0.148
Zr2 0.250 0.140 0.658
Bi1 0.250 0.250 0.161
Bi2 0.250 0.583 0.652
Bi3 0.250 0.750 0.194
```



No. 6
VASP calculation (PBE) on HoCdW after structural relaxation.

Output
E above lowest polymorph (eV per atom): 0.302
Calculated volume (Å³/atom): 26.6
Formation energy from the elements (kJ per mole of atoms): 137
VASP energy (eV per atom): -4.7253

Structure (CIF):
```
data_HoCdW
_chemical_formula_sum 'Ho4 Cd4 W4'
_cell_length_a 6.834
_cell_length_b 6.834
_cell_length_c 6.834
_cell_angle_alpha 90.00
_cell_angle_beta 90.00
_cell_angle_gamma 90.00
_space_group_name_H-M_alt 'F -4 3 m'
_space_group_IT_number 216
_space_group_name_Hall 'F -4 2 3'
loop_
_atom_site_label
_atom_site_fract_x
_atom_site_fract_y
_atom_site_fract_z
Ho1 0.000 0.000 0.000
Cd1 0.250 0.250 0.750
W1 0.250 0.250 0.250
```